# 1
SiAs2PSe | PBEsol | relaxed

a = 4.8741 Å, b = 4.8741 Å, c = 4.7320 Å
α = 90.00°, β = 90.00°, γ = 90.00°
Closest atoms and distances in Å follow each position.
Space group P4/mmm (No. 123)
Inequivalent atoms, fractional coordinates:
1 Si 0.0000 0.0000 0.0000  8 As 3.40, 4 P 3.45
2 As 0.0000 0.5000 0.5000  2 Se 2.44
3 P 0.5000 0.5000 0.0000  2 Se 2.37
4 Se 0.5000 0.5000 0.5000  2 P 2.37, 4 As 2.44

Its energy relative to the elements, uncorrected is 1.14 eV per atom. The total energy comes out at -3.98 eV per atom. Its total moment is 0.00 μB/cell.

# 2
KCa2Al | PBEsol | relaxed

a = 8.1018 Å, b = 8.1018 Å, c = 8.1018 Å
α = 90.00°, β = 90.00°, γ = 90.00°
Closest atoms and distances in Å follow each position.
Space group F-43m (No. 216)
Inequivalent atoms, fractional coordinates:
1 K 0.0000 0.0000 0.0000  4 Ca 3.51, 4 Al 3.51
2 Ca 0.0000 0.0000 0.5000  4 Ca 3.51, 4 Al 3.51
3 Ca 0.2500 0.2500 0.2500  4 Ca 3.51, 4 K 3.51
4 Al 0.2500 0.2500 0.7500  4 K 3.51, 4 Ca 3.51

The total energy comes out at -2.14 eV per atom. For the formation energy, the calculation gives 0.914 eV per formula unit. Its total moment is 0.00 μB/cell.

# 3
Ag2Ru | PBEsol | relaxed

a = 10.5657 Å, b = 2.7564 Å, c = 6.6230 Å
α = 90.00°, β = 104.68°, γ = 90.00°
Closest atoms and distances in Å follow each position.
Space group C2/m (No. 12)
Inequivalent atoms, fractional coordinates:
1 Ag 0.0175 0.0000 0.3061  7 Ag 2.69-2.85, 5 Ru 2.84-2.88
2 Ag 0.1425 0.5000 0.0335  9 Ag 2.76-2.93, 3 Ru 2.80-2.98
3 Ru 0.2060 0.5000 0.6207  4 Ru 2.46-2.76

The total energy comes out at -5.17 eV per atom. For the formation energy, the calculation gives 1.283 eV per formula unit. Its total moment is 0.01 μB/cell.

# 4
SnAs2CSe | PBEsol | relaxed

a = 4.4604 Å, b = 4.4604 Å, c = 4.4210 Å
α = 90.00°, β = 90.00°, γ = 90.00°
Closest atoms and distances in Å follow each position.
Space group P4/mmm (No. 123)
Inequivalent atoms, fractional coordinates:
1 Sn 0.0000 0.0000 0.0000  8 As 3.14, 4 Se 3.15
2 As 0.0000 0.5000 0.5000  2 C 2.23
3 C 0.5000 0.5000 0.5000  2 Se 2.21, 4 As 2.23
4 Se 0.5000 0.5000 0.0000  2 C 2.21

Its energy relative to the elements, uncorrected is 0.85 eV per atom. The total energy comes out at -4.74 eV per atom. Its total moment is 0.00 μB/cell.